Compound: SrAgBiF6
Source: Alexandria via LeMat-Bulk
Functional: PBE-GGA
Structure: relaxed

Summary:
**Symmetry**: P4_2nm, No. 102
**Formation energy (no corrections)**: -23.38 eV/f.u.
**E_tot**: -4.7801 eV per atom
**Total moment**: 0.00 μB per formula unit
**Fermi-level density of states**: 0.000 states/eV per atom

Cell and atoms, written as POSCAR:
```
SrAgBiF6
1.0
5.5138 0.0000 0.0000
0.0000 5.5138 0.0000
0.0000 0.0000 11.4575
Sr Ag Bi F
2 2 2 12
Direct
0.5000 0.5000 0.5005
0.0000 0.0000 0.0005
0.5000 0.5000 0.1682
0.0000 0.0000 0.6682
0.5000 0.5000 0.8324
0.0000 0.0000 0.3324
0.1898 0.8102 0.4829
0.8102 0.1898 0.4829
0.3102 0.3102 0.9829
0.6898 0.6898 0.9829
0.1867 0.8133 0.1750
0.8133 0.1867 0.1750
0.3133 0.3133 0.6750
0.6867 0.6867 0.6750
0.7922 0.2078 0.8416
0.2078 0.7922 0.8416
0.7078 0.7078 0.3416
0.2922 0.2922 0.3416
```